! Tm5Ge8Pd4, relaxed, DFT PBE-GGA; values from VASP
! Magnetic moment = 0.000 μB/cell
! Space-group type = P2_1/m (11)
! Final energy = -5.523 eV/atom
&SYSTEM
  ibrav = 0, nat = 34, ntyp = 3
/
ATOMIC_SPECIES
Tm 168.93 Tm.upf
Ge 72.64 Ge.upf
Pd 106.42 Pd.upf
ATOMIC_POSITIONS crystal
Tm 0.122 0.119 0.290
Tm 0.122 0.381 0.290
Tm 0.220 0.250 0.930
Tm 0.363 0.614 0.210
Tm 0.363 0.886 0.210
Tm 0.637 0.114 0.790
Tm 0.637 0.386 0.790
Tm 0.780 0.750 0.070
Tm 0.878 0.619 0.710
Tm 0.878 0.881 0.710
Ge 0.154 0.044 0.949
Ge 0.154 0.456 0.949
Ge 0.166 0.750 0.417
Ge 0.218 0.750 0.939
Ge 0.284 0.250 0.582
Ge 0.344 0.542 0.553
Ge 0.344 0.958 0.553
Ge 0.449 0.750 0.710
Ge 0.551 0.250 0.290
Ge 0.656 0.042 0.447
Ge 0.656 0.458 0.447
Ge 0.716 0.750 0.418
Ge 0.782 0.250 0.061
Ge 0.834 0.250 0.583
Ge 0.846 0.544 0.051
Ge 0.846 0.956 0.051
Pd 0.075 0.084 0.641
Pd 0.075 0.416 0.641
Pd 0.425 0.586 0.858
Pd 0.425 0.914 0.858
Pd 0.575 0.086 0.142
Pd 0.575 0.414 0.142
Pd 0.925 0.584 0.359
Pd 0.925 0.916 0.359
CELL_PARAMETERS angstrom
5.802 0.000 0.000
0.000 13.902 0.000
-2.568 0.000 8.034

! Gd2CoSi2Os, relaxed, DFT PBE-GGA; values from VASP
! Magnetic moment = 0.003 μB/cell
! Space-group type = P-4m2 (115)
! Final energy = -7.132 eV/atom
&SYSTEM
  ibrav = 0, nat = 6, ntyp = 4
/
ATOMIC_SPECIES
Gd 157.25 Gd.upf
Co 58.93 Co.upf
Si 28.09 Si.upf
Os 190.23 Os.upf
ATOMIC_POSITIONS crystal
Gd 0.000 0.500 0.176
Gd 0.500 0.000 0.824
Co 0.000 0.000 0.500
Si 0.000 0.500 0.688
Si 0.500 0.000 0.312
Os 0.500 0.500 0.500
CELL_PARAMETERS angstrom
4.070 0.000 0.000
0.000 4.070 0.000
0.000 0.000 6.762

! PrMgGa, relaxed, DFT PBE-GGA; values from VASP
! Magnetic moment = 0.021 μB/cell
! Space-group type = P6_3/mmc (194)
! Energy above the lowest structure with this stoichiometry = 64 meV per atom
&SYSTEM
  ibrav = 0, nat = 6, ntyp = 3
/
ATOMIC_SPECIES
Pr 140.91 Pr.upf
Mg 24.30 Mg.upf
Ga 69.72 Ga.upf
ATOMIC_POSITIONS crystal
Pr 0.000 0.000 0.000
Pr 0.000 0.000 0.500
Mg 0.333 0.667 0.250
Mg 0.667 0.333 0.750
Ga 0.333 0.667 0.750
Ga 0.667 0.333 0.250
CELL_PARAMETERS angstrom
4.756 0.000 0.000
-2.378 4.119 0.000
0.000 0.000 7.654